# ZnAu3S

A crystal of ZnAu3S relaxed with PBEsol (meta-GGA SCAN, Alexandria via LeMat-Bulk).

E above lowest polymorph: 1.26 eV per formula unit
uncorrected formation energy: 807 meV/atom
total DFT energy (no corrections): -45.32 eV per atom
crystal system: cubic
DOS at the Fermi energy: 3.005 states/eV/f.u.
space group: Pm-3m, No. 221

a = 4.705 Å, b = 4.705 Å, c = 4.705 Å
α = 90.00°, β = 90.00°, γ = 90.00°
Sites, in units of the cell vectors:
Au  0.000  0.000  0.500
Au  0.000  0.500  0.000
Au  0.500  0.000  0.000
S  0.500  0.500  0.500
Zn  0.000  0.000  0.000